Entry 1:
# Nd3Zn3Ga

An optimized crystal structure of Nd3Zn3Ga (PBE, OQMD).

```
Nd3Zn3Ga
1.0
2.1780 -5.5223 0.0000
2.1780 5.5223 0.0000
0.0000 0.0000 13.7402
Ga Nd Zn
2 6 6
Direct
0.0000 0.0000 0.0000
0.0000 0.0000 0.5000
0.7190 0.2810 0.1024
0.0112 0.9888 0.2500
0.7190 0.2810 0.3976
0.2810 0.7190 0.6024
0.9888 0.0112 0.7500
0.2810 0.7190 0.8976
0.4317 0.5683 0.0927
0.2957 0.7043 0.2500
0.4317 0.5683 0.4073
0.5683 0.4317 0.5927
0.7043 0.2957 0.7500
0.5683 0.4317 0.9073
```

***

Entry 2:
# HoTmNi4

An optimized crystal structure of HoTmNi4 (PBE, OQMD).

```
HoTmNi4
1.0
0.0000 3.5436 3.5436
3.5436 0.0000 3.5436
3.5436 3.5436 0.0000
Ho Ni Tm
1 4 1
Direct
0.0000 0.0000 0.0000
0.3755 0.8734 0.3755
0.3755 0.3755 0.3755
0.8734 0.3755 0.3755
0.3755 0.3755 0.8734
0.7500 0.7500 0.7500
```

- ΔE_f: -0.48 eV/atom
- Offset from the most stable computed form: 0 meV per atom

***

Entry 3:
# Y2TmCu4Ge4

An optimized crystal structure of Y2TmCu4Ge4 (PBE, OQMD).

```
Y2TmCu4Ge4
1.0
-2.0917 3.3176 6.9350
2.0917 -3.3176 6.9350
2.0917 3.3176 -6.9350
Cu Ge Tm Y
4 4 1 2
Direct
0.3601 0.1698 0.1903
0.0205 0.8302 0.1903
0.9795 0.1698 0.8097
0.6399 0.8302 0.8097
0.3063 0.0000 0.3063
0.7837 0.2837 0.5000
0.2163 0.7163 0.5000
0.6937 0.0000 0.6937
0.0000 0.5000 0.5000
0.3707 0.3707 0.0000
0.6293 0.6293 0.0000
```

***

| no. | M_tot (μB per cell) | VASP energy (eV per cell) |
| --- | --- | --- |
| 1 | 0.00 | -47.04 |
| 2 | 0.00 | -34.21 |
| 3 | 0.00 | -57.66 |